The following is a DFT calculation (GGA+U) of Na2TaMnF after structural relaxation.

Calculated values
symmetry: P4/mmm (123)
raw total energy: -4.740 eV/atom

Unit cell a=4.176 b=4.176 c=5.973 alpha=90.00 beta=90.00 gamma=90.00
Sites, in units of the cell vectors:
Na 0.000 0.500 0.000
Na 0.500 0.000 0.000
Ta 0.000 0.000 0.500
Mn 0.500 0.500 0.500
F 0.500 0.500 0.000